{"formula": "Li2IrRu2", "functional": "meta-GGA SCAN", "state": "single point on PBEsol structure", "e_form_ev_per_atom": 0.5212, "crystal_system": "tetragonal", "cell": [[2.807, 0.000, 0.000], [0.000, 2.807, 0.000], [0.000, 0.000, 15.856]], "species": ["Li", "Li", "Li", "Li", "Ir", "Ir", "Ru", "Ru", "Ru", "Ru"], "fractional_positions": [[0.000, 0.500, 0.250], [0.000, 0.500, 0.750], [0.500, 0.000, 0.250], [0.500, 0.000, 0.750], [0.000, 0.000, 0.000], [0.500, 0.500, 0.500], [0.000, 0.000, 0.390], [0.000, 0.000, 0.610], [0.500, 0.500, 0.110], [0.500, 0.500, 0.890]]}

{"formula": "K2NiPb", "functional": "meta-GGA SCAN", "state": "single point on PBEsol structure", "e_form_ev_per_atom": 0.4337, "crystal_system": "tetragonal", "cell": [[4.374, 0.000, 0.000], [0.000, 4.374, 0.000], [0.000, 0.000, 11.073]], "species": ["K", "K", "K", "K", "Ni", "Ni", "Pb", "Pb"], "fractional_positions": [[0.000, 0.500, 0.250], [0.000, 0.500, 0.750], [0.500, 0.000, 0.250], [0.500, 0.000, 0.750], [0.000, 0.000, 0.000], [0.500, 0.500, 0.500], [0.000, 0.000, 0.500], [0.500, 0.500, 0.000]]}

{"formula": "Zn3WCl", "functional": "meta-GGA SCAN", "state": "single point on PBEsol structure", "crystal_system": "cubic", "raw_formation_energy_ev_per_fu": 5.4, "cell": [[5.015, 0.000, 0.000], [0.000, 5.015, 0.000], [0.000, 0.000, 5.015]], "species": ["Zn", "Zn", "Zn", "W", "Cl"], "fractional_positions": [[0.000, 0.000, 0.500], [0.000, 0.500, 0.000], [0.500, 0.000, 0.000], [0.000, 0.000, 0.000], [0.500, 0.500, 0.500]]}